A relaxed structure of Na3Sc2CrO6, computed with GGA+U.

The structure in extended XYZ format:
```
12
Lattice="5.425 -0.001 0.001 -2.712 4.699 0.001 -0.903 -1.564 5.457" Properties=species:S:1:pos:R:3 pbc="T T T"
Cr 0.000 0.000 0.000
Na -1.831 3.147 2.730
Na 3.640 -0.013 2.730
Na 0.905 1.567 2.730
O -0.022 -0.038 4.358
O 2.691 1.607 4.352
O 0.047 3.135 4.352
O 1.763 -0.001 1.107
O -0.882 1.526 1.107
O 1.832 3.171 1.101
Sc 2.714 1.565 0.001
Sc 0.000 3.133 0.001
```

Calculated values
For the calculated density, the calculation gives 3.7 g/cm3. Its final energy is -7.0163 eV/atom. The space group is No. 12. The magnetic moment comes out at 0.25 μB/atom.

---

A relaxed structure of Na2ScCrO4, computed with GGA+U.

The structure in extended XYZ format:
```
8
Lattice="3.120 0.000 0.000 0.000 5.363 0.081 0.000 -1.888 5.412" Properties=species:S:1:pos:R:3 pbc="T T T"
Na 1.560 -0.944 2.706
Na 0.000 1.738 2.747
O 0.000 -0.116 4.333
O 0.000 3.591 1.160
O 1.560 0.829 1.100
O 1.560 2.646 4.393
Sc 1.560 2.682 0.040
Cr 0.000 0.000 0.000
```

Calculated values
For the calculated density, the calculation gives 3.8 g/cm3. Its final energy is -6.9071 eV/atom. The space group is No. 10. The magnetic moment comes out at 0.37 μB/atom.

---

Copy entry 2 word for word.
A relaxed structure of Na2ScCrO4, computed with GGA+U.

The structure in extended XYZ format:
```
8
Lattice="3.120 0.000 0.000 0.000 5.363 0.081 0.000 -1.888 5.412" Properties=species:S:1:pos:R:3 pbc="T T T"
Na 1.560 -0.944 2.706
Na 0.000 1.738 2.747
O 0.000 -0.116 4.333
O 0.000 3.591 1.160
O 1.560 0.829 1.100
O 1.560 2.646 4.393
Sc 1.560 2.682 0.040
Cr 0.000 0.000 0.000
```

Calculated values
For the calculated density, the calculation gives 3.8 g/cm3. Its final energy is -6.9071 eV/atom. The space group is No. 10. The magnetic moment comes out at 0.37 μB/atom.

---

Copy entry 2 word for word.
A relaxed structure of Na2ScCrO4, computed with GGA+U.

The structure in extended XYZ format:
```
8
Lattice="3.120 0.000 0.000 0.000 5.363 0.081 0.000 -1.888 5.412" Properties=species:S:1:pos:R:3 pbc="T T T"
Na 1.560 -0.944 2.706
Na 0.000 1.738 2.747
O 0.000 -0.116 4.333
O 0.000 3.591 1.160
O 1.560 0.829 1.100
O 1.560 2.646 4.393
Sc 1.560 2.682 0.040
Cr 0.000 0.000 0.000
```

Calculated values
For the calculated density, the calculation gives 3.8 g/cm3. Its final energy is -6.9071 eV/atom. The space group is No. 10. The magnetic moment comes out at 0.37 μB/atom.

---

> What is the formula in the first record?

Na3Sc2CrO6

---

Copy entry 1 word for word.
A relaxed structure of Na3Sc2CrO6, computed with GGA+U.

The structure in extended XYZ format:
```
12
Lattice="5.425 -0.001 0.001 -2.712 4.699 0.001 -0.903 -1.564 5.457" Properties=species:S:1:pos:R:3 pbc="T T T"
Cr 0.000 0.000 0.000
Na -1.831 3.147 2.730
Na 3.640 -0.013 2.730
Na 0.905 1.567 2.730
O -0.022 -0.038 4.358
O 2.691 1.607 4.352
O 0.047 3.135 4.352
O 1.763 -0.001 1.107
O -0.882 1.526 1.107
O 1.832 3.171 1.101
Sc 2.714 1.565 0.001
Sc 0.000 3.133 0.001
```

Calculated values
For the calculated density, the calculation gives 3.7 g/cm3. Its final energy is -7.0163 eV/atom. The space group is No. 12. The magnetic moment comes out at 0.25 μB/atom.